No. 1
## YScNO2 (GGA-PBE)

Data for YScNO2 after structural relaxation.

a b c (Å): 4.2524 4.2524 4.3195
angles (deg): 90.00 90.00 90.00
Positions (direct):
1 Y 0.0000 0.0000 0.0000
2 O 0.5000 0.0000 0.0000
3 O 0.0000 0.5000 0.0000
4 N 0.0000 0.0000 0.5000
5 Sc 0.5000 0.5000 0.5000

## Properties
Uncorrected formation energy = -6.19 eV per formula unit

---

No. 2
## Sc2SnGeBi (GGA-PBE)

Data for Sc2SnGeBi after structural relaxation.

a b c (Å): 5.1278 5.4519 5.1278
angles (deg): 90.00 90.00 90.00
Positions (direct):
1 Bi 0.0000 0.5000 0.0000
2 Ge 0.0000 0.0000 0.0000
3 Sn 0.5000 0.5000 0.5000
4 Sc 0.5000 0.0000 0.0000
5 Sc 0.0000 0.0000 0.5000

## Properties
E_tot = -5.031 eV/atom

---

No. 3
## Cs2NbAsBr6 (GGA-PBE)

Data for Cs2NbAsBr6 after structural relaxation.

a b c (Å): 7.6247 7.6247 8.3453
angles (deg): 62.82 62.82 90.00
Positions (direct):
1 Br 0.2484 0.2484 0.0000
2 Br 0.7915 0.7915 0.4169
3 Br 0.7516 0.2484 0.0000
4 Br 0.2085 0.2085 0.5831
5 Br 0.2484 0.7516 0.0000
6 Br 0.7516 0.7516 0.0000
7 Nb 0.0000 0.0000 0.0000
8 Cs 0.2500 0.7500 0.5000
9 Cs 0.7500 0.2500 0.5000
10 As 0.5000 0.5000 0.0000

## Properties
Uncorrected formation energy = -8.88 eV per formula unit

---

No. 4
## Y2OsRh2 (GGA-PBE)

Data for Y2OsRh2 after structural relaxation.

a b c (Å): 6.8202 6.8202 4.2727
angles (deg): 90.00 90.00 90.00
Positions (direct):
1 Os 0.0000 0.0000 0.0000
2 Os 0.5000 0.5000 0.0000
3 Rh 0.6345 0.1345 0.0000
4 Rh 0.8655 0.6345 0.0000
5 Rh 0.3655 0.8655 0.0000
6 Rh 0.1345 0.3655 0.0000
7 Y 0.1793 0.6793 0.5000
8 Y 0.6793 0.8207 0.5000
9 Y 0.3207 0.1793 0.5000
10 Y 0.8207 0.3207 0.5000

## Properties
E_tot = -8.146 eV/atom

---

No. 5
## NaUIr4 (GGA-PBE)

Data for NaUIr4 after structural relaxation.

a b c (Å): 5.2909 5.2909 5.2909
angles (deg): 60.00 60.00 60.00
Positions (direct):
1 Ir 0.6244 0.6244 0.6244
2 Ir 0.1268 0.6244 0.6244
3 Ir 0.6244 0.1268 0.6244
4 Ir 0.6244 0.6244 0.1268
5 Na 0.2500 0.2500 0.2500
6 U 0.0000 0.0000 0.0000

## Properties
E_tot = -8.287 eV/atom

---

No. 6
## Dy8Tl2In3 (GGA-PBE)

Data for Dy8Tl2In3 after structural relaxation.

a b c (Å): 5.5034 8.6836 9.2497
angles (deg): 118.00 90.02 90.00
Positions (direct):
1 Dy 0.5003 0.4032 0.2280
2 Dy 0.5003 0.8248 0.2280
3 Dy 0.9999 0.1056 0.2113
4 Dy 0.9994 0.3179 0.6357
5 Dy 0.4997 0.5968 0.7720
6 Dy 0.4997 0.1752 0.7720
7 Dy 0.0001 0.8944 0.7887
8 Dy 0.0006 0.6821 0.3643
9 In 0.5000 0.0000 0.0000
10 In 0.0000 0.6761 0.0000
11 In 0.0000 0.3239 0.0000
12 Tl 0.4992 0.2263 0.4526
13 Tl 0.5008 0.7737 0.5474

## Properties
E_tot = -3.980 eV/atom

---

Number 1: M_tot 0.13 μB per atom. Number 2: M_tot 0.00 μB per atom. Number 3: M_tot 0.20 μB per atom. Number 4: M_tot 0.00 μB per atom. Number 5: M_tot 0.18 μB per atom. Number 6: M_tot 0.07 μB per atom.